No. 1
VASP calculation (PBE) on K3Pu2CuTe6 after structural relaxation.

The structure in POSCAR format:
```
K3Pu2CuTe6
1.0
3.856 -6.667 0.000
3.856 6.667 0.000
-2.578 0.000 8.141
K Pu Cu Te
3 2 1 6
Cartesian
0.000 0.000 0.000
3.856 2.259 0.000
3.856 -2.259 0.000
2.567 4.447 4.071
2.567 -4.447 4.071
2.567 0.000 4.071
1.338 2.125 2.464
0.093 0.000 5.694
1.338 -2.125 2.464
3.796 2.125 5.678
5.041 0.000 2.447
3.796 -2.125 5.678
```

Properties
Its space-group type is C2/m. As for the electronic total energy: -5.38 eV/atom. The calculation puts the energy relative to the elements, uncorrected at -0.80 eV/atom.



No. 2
VASP calculation (PBE) on Dy10TmTh4 after structural relaxation.

The structure in POSCAR format:
```
Dy10TmTh4
1.0
-4.848 4.848 5.700
4.848 -4.848 5.700
4.848 4.848 -5.700
Dy Tm Th
10 1 4
Cartesian
2.200 -1.156 1.864
6.004 -2.649 3.836
4.848 0.000 2.850
7.497 1.156 1.864
1.156 2.200 1.864
3.692 2.649 3.836
-2.649 3.692 3.836
0.000 4.848 2.850
-1.156 7.497 1.864
2.649 6.004 3.836
0.000 0.000 0.000
4.149 1.579 0.000
3.269 -0.699 5.700
1.579 5.547 0.000
0.699 3.269 5.700
```

Properties
As for the formation energy: 483 meV/atom. Its space-group type is I4/m. As for the electronic total energy: -4.86 eV/atom.